A plane-wave DFT calculation with PBE with a Hubbard U was carried out for a relaxed structure of K4Ac3MnO8.

As for the calculated total energy: -199.3 eV per cell. For the volume, the calculation gives 313 Å³/f.u.

It has space group C2/m (No. 12), with a = 13.4693 Å, b = 7.2335 Å, c = 7.4770 Å, α = 90.00°, β = 120.66° and γ = 90.00°. The inequivalent atoms are K at (0.0000, 0.0000, 0.0000), K at (0.0000, 0.5000, 0.0000), K at (0.2500, 0.2500, 0.0000), Ac at (0.0000, 0.0000, 0.5000), Ac at (0.2500, 0.2500, 0.5000), Mn at (0.0000, 0.5000, 0.5000), O at (0.0261, 0.2987, 0.3425), O at (0.2163, 0.0000, 0.6964) and O at (0.2174, 0.0000, 0.2536).